[1]
TbGa2Rh (PBE-GGA, relaxed); ΔE_f = -0.707 eV/atom; E_tot = -5.216 eV per atom
1.0
4.2174 0.0000 0.0000
2.1087 3.6524 0.0000
2.1087 1.2175 5.0011
Tb Ga Rh
1 2 1
Direct
0.5000 0.5000 0.5000
0.7166 0.7166 0.8501
0.2834 0.2834 0.1499
0.0000 0.0000 0.0000


[2]
NbAlSeN2 (PBE-GGA, relaxed); ΔE_f (raw) = 0.57 eV/atom; E_tot = -6.224 eV per atom
1.0
-0.7417 2.1950 -2.9805
0.3953 -2.9754 -2.2896
-4.7872 -0.9910 0.4614
N Nb Al Se
2 1 1 1
Direct
0.5000 0.0000 0.0000
0.0000 0.5000 0.0000
0.5000 0.5000 0.5000
0.0000 0.0000 0.0000
0.0000 0.0000 0.5000


[3]
AcTmCd2Au4 (PBE-GGA, relaxed); ΔE_f = -0.643 eV/atom; E_tot = -3.583 eV per atom
1.0
-0.1231 4.6477 -1.6125
-4.2466 2.4865 -0.0179
0.2019 5.2696 7.6639
Au Cd Tm Ac
4 2 1 1
Direct
0.6090 0.6090 0.1731
0.1284 0.1284 0.6149
0.8716 0.8716 0.3851
0.3910 0.3910 0.8269
0.2431 0.2431 0.2708
0.7569 0.7569 0.7292
0.5000 0.5000 0.5000
0.0000 0.0000 0.0000